First-principles (GGA-PBEsol) data for ZnRh3 after structural relaxation, as listed in the Alexandria database.

Calculated values
Calculated formation energy ... -0.1087 eV per atom

a = 3.7403 Å, b = 3.7403 Å, c = 15.2727 Å
α = 90.00°, β = 90.00°, γ = 90.00°
With the nearest neighbours (Å) after each atom.
Space group I4/mmm (No. 139)
Inequivalent atoms, fractional coordinates:
Zn 0.0000 0.0000 0.1229 x4  12 Rh 2.65-2.69
Rh 0.0000 0.0000 0.3735 x4  4 Zn 2.65, 8 Rh 2.66-2.69
Rh 0.0000 0.5000 0.0000 x4  8 Rh 2.64-2.69, 4 Zn 2.65
Rh 0.0000 0.5000 0.2500 x4  8 Rh 2.64-2.66, 4 Zn 2.69

---

First-principles (GGA-PBEsol) data for Zn5Rh after structural relaxation, as listed in the Alexandria database.

Calculated values
Calculated formation energy ... -0.1811 eV per atom

a = 2.8431 Å, b = 4.2047 Å, c = 6.9835 Å
α = 90.00°, β = 101.25°, γ = 90.00°
With the nearest neighbours (Å) after each atom.
Space group Pm (No. 6)
Inequivalent atoms, fractional coordinates:
Zn 0.0000 0.0000 0.0000 x1  8 Zn 2.61-2.84, 4 Rh 2.63
Zn 0.1096 0.5000 0.2266 x1  10 Zn 2.61-2.84, 2 Rh 2.64-2.65
Zn 0.3391 0.0000 0.6746 x1  2 Rh 2.61, 10 Zn 2.62-2.84
Zn 0.6673 0.0000 0.3396 x1  12 Zn 2.65-2.84
Zn 0.7949 0.5000 0.5806 x1  2 Rh 2.61-2.62, 10 Zn 2.62-2.84
Rh 0.4512 0.5000 0.9008 x1  10 Zn 2.61-2.65, 2 Rh 2.84

---

First-principles (GGA-PBEsol) data for ZnRh2 after structural relaxation, as listed in the Alexandria database.

Calculated values
Calculated formation energy ... -0.1726 eV per atom

a = 2.7060 Å, b = 2.7060 Å, c = 10.9177 Å
α = 90.00°, β = 90.00°, γ = 90.00°
With the nearest neighbours (Å) after each atom.
Space group I4/mmm (No. 139)
Inequivalent atoms, fractional coordinates:
Zn 0.0000 0.0000 0.0000 x2  8 Rh 2.65, 4 Zn 2.71
Rh 0.0000 0.0000 0.3327 x4  8 Rh 2.63-2.71, 4 Zn 2.65

---

First-principles (GGA-PBEsol) data for Zn2Rh after structural relaxation, as listed in the Alexandria database.

Calculated values
Calculated formation energy ... -0.3535 eV per atom

a = 3.7035 Å, b = 3.7035 Å, c = 23.3024 Å
α = 90.00°, β = 90.00°, γ = 90.00°
With the nearest neighbours (Å) after each atom.
Space group I4_1/amd (No. 141, origin choice 2)
Inequivalent atoms, fractional coordinates:
Zn 0.0000 0.2500 0.1242 x8  4 Rh 2.55-2.58, 8 Zn 2.62-2.78
Zn 0.0000 0.2500 0.2870 x8  6 Zn 2.53-2.78, 6 Rh 2.63-2.72
Rh 0.0000 0.2500 0.7987 x8  10 Zn 2.55-2.72

---

First-principles (GGA-PBEsol) data for ZnRh3 after structural relaxation, as listed in the Alexandria database.

Calculated values
Calculated formation energy ... -0.1155 eV per atom

a = 2.6988 Å, b = 3.7348 Å, c = 5.3001 Å
α = 90.00°, β = 90.00°, γ = 90.00°
With the nearest neighbours (Å) after each atom.
Space group Pmmm (No. 47)
Inequivalent atoms, fractional coordinates:
Zn 0.0000 0.0000 0.0000 x1  10 Rh 2.65-2.66, 2 Zn 2.70
Rh 0.0000 0.0000 0.5000 x1  2 Zn 2.65, 10 Rh 2.66-2.70
Rh 0.5000 0.5000 0.2501 x2  8 Rh 2.65-2.70, 4 Zn 2.66

---

First-principles (GGA-PBEsol) data for Zn5Rh after structural relaxation, as listed in the Alexandria database.

Calculated values
Calculated formation energy ... -0.2249 eV per atom

a = 3.7783 Å, b = 11.6594 Å, c = 3.6616 Å
α = 90.00°, β = 90.00°, γ = 90.00°
With the nearest neighbours (Å) after each atom.
Space group Cmmm (No. 65)
Inequivalent atoms, fractional coordinates:
Zn 0.0000 0.0000 0.0000 x2  4 Rh 2.63, 8 Zn 2.64-2.70
Zn 0.0000 0.1634 0.5000 x4  10 Zn 2.63-2.77, 2 Rh 2.68
Zn 0.0000 0.3341 0.0000 x4  10 Zn 2.63-2.72, 2 Rh 2.66
Rh 0.0000 0.5000 0.5000 x2  12 Zn 2.63-2.68

---

First-principles (GGA-PBEsol) data for Zn13Rh after structural relaxation, as listed in the Alexandria database.

Calculated values
Calculated formation energy ... -0.1309 eV per atom

a = 10.6981 Å, b = 7.3786 Å, c = 5.0802 Å
α = 90.00°, β = 101.45°, γ = 90.00°
With the nearest neighbours (Å) after each atom.
Space group C2/m (No. 12)
Inequivalent atoms, fractional coordinates:
Zn 0.0000 0.0000 0.0000 x2  2 Rh 2.54, 10 Zn 2.70-2.82
Zn 0.0799 0.3055 0.3243 x8  8 Zn 2.55-2.82, 1 Rh 2.63
Zn 0.1122 0.5000 0.9290 x4  10 Zn 2.53-2.72
Zn 0.1805 0.1814 0.8018 x8  9 Zn 2.47-2.77, 1 Rh 2.59
Zn 0.2233 0.0000 0.3653 x4  10 Zn 2.53-2.77, 1 Rh 2.61
Rh 0.0000 0.0000 0.5000 x2  12 Zn 2.54-2.63

---

First-principles (GGA-PBEsol) data for ZnRh3 after structural relaxation, as listed in the Alexandria database.

Calculated values
Calculated formation energy ... -0.1365 eV per atom

a = 2.7021 Å, b = 2.7021 Å, c = 7.3065 Å
α = 90.00°, β = 90.00°, γ = 90.00°
With the nearest neighbours (Å) after each atom.
Space group P4/mmm (No. 123)
Inequivalent atoms, fractional coordinates:
Zn 0.0000 0.0000 0.0000 x1  8 Rh 2.64, 4 Zn 2.70
Rh 0.0000 0.0000 0.5000 x1  12 Rh 2.64-2.70
Rh 0.5000 0.5000 0.2500 x2  8 Rh 2.64-2.70, 4 Zn 2.64

---

First-principles (GGA-PBEsol) data for Zn5Rh after structural relaxation, as listed in the Alexandria database.

Calculated values
Calculated formation energy ... -0.1806 eV per atom

a = 9.6682 Å, b = 2.8121 Å, c = 6.2521 Å
α = 90.00°, β = 105.97°, γ = 90.00°
With the nearest neighbours (Å) after each atom.
Space group Cm (No. 8)
Inequivalent atoms, fractional coordinates:
Zn 0.0000 0.0000 0.0000 x2  10 Zn 2.60-2.81, 2 Rh 2.67
Zn 0.0492 0.0000 0.6085 x2  9 Zn 2.62-2.81, 3 Rh 2.62-2.67
Zn 0.1702 0.5000 0.3425 x2  2 Rh 2.60, 10 Zn 2.63-2.81
Zn 0.2224 0.5000 0.9298 x2  10 Zn 2.60-2.81, 2 Rh 2.61
Zn 0.3845 0.0000 0.2745 x2  1 Rh 2.62, 11 Zn 2.63-2.81
Rh 0.3327 0.0000 0.6650 x2  10 Zn 2.60-2.67, 2 Rh 2.81

---

First-principles (GGA-PBEsol) data for ZnRh after structural relaxation, as listed in the Alexandria database.

Calculated values
Calculated formation energy ... -0.2061 eV per atom

a = 3.7133 Å, b = 3.7133 Å, c = 7.7362 Å
α = 90.00°, β = 90.00°, γ = 90.00°
With the nearest neighbours (Å) after each atom.
Space group I4_1/amd (No. 141, origin choice 2)
Inequivalent atoms, fractional coordinates:
Zn 0.0000 0.2500 0.3750 x4  8 Rh 2.63-2.68, 4 Zn 2.68
Rh 0.0000 0.2500 0.8750 x4  8 Zn 2.63-2.68, 4 Rh 2.68

---

First-principles (GGA-PBEsol) data for ZnRh after structural relaxation, as listed in the Alexandria database.

Calculated values
Calculated formation energy ... 1.0657 eV per atom

a = 5.4307 Å, b = 5.4307 Å, c = 5.4307 Å
α = 90.00°, β = 90.00°, γ = 90.00°
With the nearest neighbours (Å) after each atom.
Space group F-43m (No. 216)
Inequivalent atoms, fractional coordinates:
Zn 0.0000 0.0000 0.0000 x4  4 Rh 2.35
Rh 0.2500 0.2500 0.7500 x4  4 Zn 2.35

---

First-principles (GGA-PBEsol) data for Zn5Rh4 after structural relaxation, as listed in the Alexandria database.

Calculated values
Calculated formation energy ... -0.2913 eV per atom

a = 7.3868 Å, b = 7.3868 Å, c = 5.0904 Å
α = 90.00°, β = 90.00°, γ = 120.00°
With the nearest neighbours (Å) after each atom.
Space group P6_3/mcm (No. 193)
Inequivalent atoms, fractional coordinates:
Zn 0.0000 0.3074 0.2500 x6  7 Rh 2.47-2.60
Zn 0.3333 0.6667 0.0000 x4  2 Zn 2.55, 6 Rh 2.69
Rh 0.0000 0.0000 0.0000 x2  2 Rh 2.55, 6 Zn 2.60
Rh 0.0000 0.3586 0.7500 x6  9 Zn 2.47-2.69

---

First-principles (GGA-PBEsol) data for ZnRh after structural relaxation, as listed in the Alexandria database.

Calculated values
Calculated formation energy ... -0.2835 eV per atom

a = 2.7451 Å, b = 2.7451 Å, c = 4.0922 Å
α = 90.00°, β = 90.00°, γ = 120.00°
With the nearest neighbours (Å) after each atom.
Space group P-6m2 (No. 187)
Inequivalent atoms, fractional coordinates:
Zn 0.0000 0.0000 0.0000 x1  6 Rh 2.59, 6 Zn 2.75
Rh 0.3333 0.6667 0.5000 x1  6 Zn 2.59, 6 Rh 2.75

---

First-principles (GGA-PBEsol) data for ZnRh after structural relaxation, as listed in the Alexandria database.

Calculated values
Calculated formation energy ... -0.3621 eV per atom

a = 2.9692 Å, b = 2.9692 Å, c = 2.9692 Å
α = 90.00°, β = 90.00°, γ = 90.00°
With the nearest neighbours (Å) after each atom.
Space group Pm-3m (No. 221)
Inequivalent atoms, fractional coordinates:
Zn 0.0000 0.0000 0.0000 x1  8 Rh 2.57
Rh 0.5000 0.5000 0.5000 x1  8 Zn 2.57